## SrGa2Te4 (meta-GGA SCAN)

Data for SrGa2Te4 at its PBEsol-relaxed geometry.

Cell lengths 6.656, 6.660, 11.602 Å; angles 90.00, 90.00, 119.98 degrees
Element x y z (fractional)
Sr 0.500 0.000 0.250
Sr 0.500 0.000 0.750
Ga 0.757 0.517 0.000
Ga 0.243 0.483 0.000
Ga 0.760 0.517 0.500
Ga 0.240 0.483 0.500
Te 0.336 0.146 0.500
Te 0.664 0.854 0.500
Te 0.190 0.854 0.000
Te 0.810 0.146 0.000
Te 0.500 0.500 0.823
Te 0.000 0.500 0.677
Te 0.500 0.500 0.177
Te 0.000 0.500 0.323

Output
Uncorrected energy in eV per cell: -419.23
Volume in Å³/atom: 31.8
Formation energy (no corrections) in meV per atom: -806

***

## SrGa2Te4 (meta-GGA SCAN)

Data for SrGa2Te4 at its PBEsol-relaxed geometry.

Cell lengths 6.617, 6.655, 6.655 Å; angles 75.69, 60.19, 60.19 degrees
Element x y z (fractional)
Sr 0.000 0.000 0.000
Te 0.429 0.143 0.500
Te 0.929 0.500 0.143
Te 0.571 0.500 0.857
Te 0.071 0.857 0.500
Ga 0.000 0.500 0.500
Ga 0.500 0.500 0.500

Output
Uncorrected energy in eV per cell: -209.53
Volume in Å³/atom: 31.5
Formation energy (no corrections) in meV per atom: -794

***

## SrTiGa3 (meta-GGA SCAN)

Data for SrTiGa3 at its PBEsol-relaxed geometry.

Cell lengths 4.933, 4.933, 4.933 Å; angles 90.00, 90.00, 90.00 degrees
Last column: magnetic moment on the atom in μB.
Element x y z (fractional)
Sr 0.500 0.500 0.500  0.00
Ga 0.000 0.500 0.000  0.04
Ga 0.000 0.000 0.500  0.04
Ga 0.500 0.000 0.000  0.04
Ti 0.000 0.000 0.000  0.60

Output
Uncorrected energy in eV per cell: -88.49
Volume in Å³/atom: 24.0
E_form in eV/atom: -0.229

***

## SrTl2Ga (meta-GGA SCAN)

Data for SrTl2Ga at its PBEsol-relaxed geometry.

Cell lengths 5.318, 5.318, 5.318 Å; angles 60.00, 60.00, 60.00 degrees
Element x y z (fractional)
Sr 0.500 0.500 0.500
Tl 0.250 0.250 0.250
Tl 0.750 0.750 0.750
Ga 0.000 0.000 0.000

Output
Uncorrected energy in eV per cell: -184.38
Volume in Å³/atom: 26.6
E_form in eV/atom: -0.260

***

## SrTl2Ga2 (meta-GGA SCAN)

Data for SrTl2Ga2 at its PBEsol-relaxed geometry.

Cell lengths 4.778, 4.778, 6.523 Å; angles 111.48, 111.48, 90.00 degrees
Element x y z (fractional)
Sr 0.000 0.000 0.000
Tl 0.250 0.750 0.500
Tl 0.750 0.250 0.500
Ga 0.390 0.390 0.781
Ga 0.610 0.610 0.219

Output
Uncorrected energy in eV per cell: -201.42
Volume in Å³/atom: 25.5
E_form in eV/atom: -0.347

***

## Sr2TlGa (meta-GGA SCAN)

Data for Sr2TlGa at its PBEsol-relaxed geometry.

Cell lengths 5.553, 5.553, 5.553 Å; angles 60.00, 60.00, 60.00 degrees
Element x y z (fractional)
Sr 0.250 0.250 0.250
Sr 0.750 0.750 0.750
Tl 0.500 0.500 0.500
Ga 0.000 0.000 0.000

Output
Uncorrected energy in eV per cell: -135.29
Volume in Å³/atom: 30.3
E_form in eV/atom: -0.509

***

## SrY2TlGa (meta-GGA SCAN)

Data for SrY2TlGa at its PBEsol-relaxed geometry.

Cell lengths 5.424, 5.424, 5.842 Å; angles 90.00, 90.00, 90.00 degrees
Element x y z (fractional)
Y 0.000 0.500 0.000
Y 0.500 0.000 0.000
Sr 0.000 0.000 0.500
Tl 0.500 0.500 0.500
Ga 0.000 0.000 0.000

Output
Uncorrected energy in eV per cell: -167.15
Volume in Å³/atom: 34.4
E_form in eV/atom: -0.096

***

## SrYGa3 (meta-GGA SCAN)

Data for SrYGa3 at its PBEsol-relaxed geometry.

Cell lengths 5.315, 5.315, 5.315 Å; angles 90.00, 90.00, 90.00 degrees
Element x y z (fractional)
Y 0.500 0.500 0.500
Sr 0.000 0.000 0.000
Ga 0.000 0.500 0.000
Ga 0.000 0.000 0.500
Ga 0.500 0.000 0.000

Output
Uncorrected energy in eV per cell: -95.62
Volume in Å³/atom: 30.0
E_form in eV/atom: 0.708

***

## SrZnGa3 (meta-GGA SCAN)

Data for SrZnGa3 at its PBEsol-relaxed geometry.

Cell lengths 4.867, 4.867, 4.867 Å; angles 90.00, 90.00, 90.00 degrees
Element x y z (fractional)
Sr 0.500 0.500 0.500
Zn 0.000 0.000 0.000
Ga 0.000 0.500 0.000
Ga 0.000 0.000 0.500
Ga 0.500 0.000 0.000

Output
Uncorrected energy in eV per cell: -85.18
Volume in Å³/atom: 23.1
E_form in eV/atom: -0.069

***

## SrZnGa3 (meta-GGA SCAN)

Data for SrZnGa3 at its PBEsol-relaxed geometry.

Cell lengths 5.794, 5.794, 5.794 Å; angles 90.00, 90.00, 90.00 degrees
Element x y z (fractional)
Sr 0.000 0.000 0.000
Zn 0.500 0.500 0.500
Ga 0.000 0.500 0.000
Ga 0.000 0.000 0.500
Ga 0.500 0.000 0.000

Output
Uncorrected energy in eV per cell: -78.92
Volume in Å³/atom: 38.9
E_form in eV/atom: 1.181

***

## Sr2Zn2Ga (meta-GGA SCAN)

Data for Sr2Zn2Ga at its PBEsol-relaxed geometry.

Cell lengths 5.655, 5.655, 5.655 Å; angles 99.78, 114.52, 114.52 degrees
Element x y z (fractional)
Sr 0.500 0.750 0.250
Sr 0.500 0.250 0.750
Zn 0.000 0.660 0.660
Zn 0.000 0.340 0.340
Ga 0.000 0.000 0.000

Output
Uncorrected energy in eV per cell: -88.60
Volume in Å³/atom: 27.3
E_form in eV/atom: -0.135

***

## Ta3Ga2 (meta-GGA SCAN)

Data for Ta3Ga2 at its PBEsol-relaxed geometry.

Cell lengths 3.473, 6.827, 6.827 Å; angles 90.00, 90.00, 90.00 degrees
Element x y z (fractional)
Ta 0.500 0.825 0.675
Ta 0.500 0.325 0.825
Ta 0.500 0.175 0.325
Ta 0.500 0.675 0.175
Ta 0.000 0.500 0.500
Ta 0.000 0.000 0.000
Ga 0.000 0.126 0.626
Ga 0.000 0.626 0.874
Ga 0.000 0.374 0.126
Ga 0.000 0.874 0.374

Output
Uncorrected energy in eV per cell: -468.50
Volume in Å³/atom: 16.2
E_form in eV/atom: -0.361

***

## TaGa2Tc (meta-GGA SCAN)

Data for TaGa2Tc at its PBEsol-relaxed geometry.

Cell lengths 4.376, 4.376, 4.376 Å; angles 60.00, 60.00, 60.00 degrees
Element x y z (fractional)
Tc 0.000 0.000 0.000
Ga 0.250 0.250 0.250
Ga 0.750 0.750 0.750
Ta 0.500 0.500 0.500

Output
Uncorrected energy in eV per cell: -134.39
Volume in Å³/atom: 14.8
E_form in eV/atom: -0.012

***

## Ta3TiGa (meta-GGA SCAN)

Data for Ta3TiGa at its PBEsol-relaxed geometry.

Cell lengths 4.619, 4.619, 4.619 Å; angles 90.00, 90.00, 90.00 degrees
Element x y z (fractional)
Ti 0.000 0.000 0.000
Ga 0.500 0.500 0.500
Ta 0.000 0.500 0.000
Ta 0.000 0.000 0.500
Ta 0.500 0.000 0.000

Output
Uncorrected energy in eV per cell: -224.99
Volume in Å³/atom: 19.7
Distance to the lowest polymorph of the same formula in meV/atom: 281
E_form in eV/atom: 1.428

***

## Ta2TiGa2 (meta-GGA SCAN)

Data for Ta2TiGa2 at its PBEsol-relaxed geometry.

Cell lengths 3.491, 6.789, 6.789 Å; angles 90.00, 90.00, 90.00 degrees
Element x y z (fractional)
Ti 0.000 0.000 0.000
Ti 0.000 0.500 0.500
Ga 0.000 0.372 0.872
Ga 0.000 0.872 0.628
Ga 0.000 0.628 0.128
Ga 0.000 0.128 0.372
Ta 0.500 0.173 0.673
Ta 0.500 0.673 0.827
Ta 0.500 0.827 0.327
Ta 0.500 0.327 0.173

Output
Uncorrected energy in eV per cell: -367.45
Volume in Å³/atom: 16.1
E_form in eV/atom: -0.367

***

## Ta3TiGa (meta-GGA SCAN)

Data for Ta3TiGa at its PBEsol-relaxed geometry.

Cell lengths 4.674, 4.674, 4.674 Å; angles 90.00, 90.00, 90.00 degrees
Element x y z (fractional)
Ti 0.500 0.500 0.500
Ga 0.000 0.000 0.000
Ta 0.000 0.500 0.000
Ta 0.000 0.000 0.500
Ta 0.500 0.000 0.000

Output
Uncorrected energy in eV per cell: -226.40
Volume in Å³/atom: 20.4
Distance to the lowest polymorph of the same formula in meV/atom: 0
E_form in eV/atom: 1.146

***

## TaTlGa3 (meta-GGA SCAN)

Data for TaTlGa3 at its PBEsol-relaxed geometry.

Cell lengths 5.019, 5.019, 5.019 Å; angles 90.00, 90.00, 90.00 degrees
Last column: magnetic moment on the atom in μB.
Element x y z (fractional)
Tl 0.000 0.000 0.000  0.01
Ga 0.000 0.500 0.000  -0.01
Ga 0.000 0.000 0.500  -0.01
Ga 0.500 0.000 0.000  -0.01
Ta 0.500 0.500 0.500  1.65

Output
Uncorrected energy in eV per cell: -179.86
Volume in Å³/atom: 25.3
Distance to the lowest polymorph of the same formula in meV/atom: 1191
E_form in eV/atom: 1.624

***

## TaTlGa3 (meta-GGA SCAN)

Data for TaTlGa3 at its PBEsol-relaxed geometry.

Cell lengths 5.042, 5.042, 5.042 Å; angles 90.00, 90.00, 90.00 degrees
Element x y z (fractional)
Tl 0.500 0.500 0.500
Ga 0.000 0.500 0.000
Ga 0.000 0.000 0.500
Ga 0.500 0.000 0.000
Ta 0.000 0.000 0.000

Output
Uncorrected energy in eV per cell: -185.81
Volume in Å³/atom: 25.6
Distance to the lowest polymorph of the same formula in meV/atom: 0
E_form in eV/atom: 0.434

***

## TaTl2Ga (meta-GGA SCAN)

Data for TaTl2Ga at its PBEsol-relaxed geometry.

Cell lengths 4.962, 4.962, 4.962 Å; angles 60.00, 60.00, 60.00 degrees
Last column: magnetic moment on the atom in μB.
Element x y z (fractional)
Tl 0.250 0.250 0.250  0.03
Tl 0.750 0.750 0.750  0.03
Ga 0.000 0.000 0.000  0.00
Ta 0.500 0.500 0.500  1.48

Output
Uncorrected energy in eV per cell: -223.95
Volume in Å³/atom: 21.6
E_form in eV/atom: 0.923

***

## Ta2Ga2W (meta-GGA SCAN)

Data for Ta2Ga2W at its PBEsol-relaxed geometry.

Cell lengths 3.498, 6.697, 6.697 Å; angles 90.00, 90.00, 90.00 degrees
Element x y z (fractional)
Ga 0.000 0.372 0.872
Ga 0.000 0.872 0.628
Ga 0.000 0.628 0.128
Ga 0.000 0.128 0.372
W 0.000 0.000 0.000
W 0.000 0.500 0.500
Ta 0.500 0.175 0.675
Ta 0.500 0.675 0.825
Ta 0.500 0.825 0.325
Ta 0.500 0.325 0.175

Output
Uncorrected energy in eV per cell: -473.29
Volume in Å³/atom: 15.7
E_form in eV/atom: -0.219

***

## TbGa3 (meta-GGA SCAN)

Data for TbGa3 at its PBEsol-relaxed geometry.

Cell lengths 4.479, 6.190, 6.190 Å; angles 120.00, 90.00, 90.00 degrees
Element x y z (fractional)
Tb 0.750 0.333 0.667
Tb 0.250 0.667 0.333
Ga 0.250 0.705 0.853
Ga 0.250 0.147 0.295
Ga 0.250 0.147 0.853
Ga 0.750 0.295 0.147
Ga 0.750 0.853 0.705
Ga 0.750 0.853 0.147

Output
Uncorrected energy in eV per cell: -196.77
Volume in Å³/atom: 18.6
E_form in eV/atom: -0.646

***

## TbGa2 (meta-GGA SCAN)

Data for TbGa2 at its PBEsol-relaxed geometry.

Cell lengths 4.032, 4.162, 4.162 Å; angles 120.00, 90.00, 90.00 degrees
Element x y z (fractional)
Tb 0.000 0.000 0.000
Ga 0.500 0.333 0.667
Ga 0.500 0.667 0.333

Output
Uncorrected energy in eV per cell: -81.84
Volume in Å³/atom: 20.2
E_form in eV/atom: -0.795

***

## Tb3Ga2 (meta-GGA SCAN)

Data for Tb3Ga2 at its PBEsol-relaxed geometry.

Cell lengths 10.955, 10.955, 10.955 Å; angles 95.46, 116.90, 116.90 degrees
Element x y z (fractional)
Tb 0.500 0.148 0.648
Tb 0.500 0.648 0.148
Tb 0.500 0.852 0.352
Tb 0.500 0.352 0.852
Tb 0.163 0.331 0.831
Tb 0.837 0.669 0.169
Tb 0.500 0.831 0.669
Tb 0.500 0.169 0.331
Tb 0.732 0.664 0.799
Tb 0.268 0.067 0.932
Tb 0.865 0.164 0.432
Tb 0.135 0.567 0.299
Tb 0.865 0.932 0.664
Tb 0.135 0.799 0.067
Tb 0.732 0.299 0.164
Tb 0.268 0.432 0.567
Tb 0.268 0.336 0.201
Tb 0.732 0.933 0.068
Tb 0.135 0.836 0.568
Tb 0.865 0.433 0.701
Tb 0.135 0.068 0.336
Tb 0.865 0.201 0.933
Tb 0.268 0.701 0.836
Tb 0.732 0.568 0.433
Ga 0.000 0.750 0.750
Ga 0.000 0.250 0.250
Ga 0.000 0.000 0.000
Ga 0.000 0.500 0.500
Ga 0.267 0.884 0.384
Ga 0.733 0.116 0.616
Ga 0.500 0.384 0.116
Ga 0.500 0.616 0.884
Ga 0.144 0.525 0.025
Ga 0.856 0.881 0.381
Ga 0.500 0.025 0.881
Ga 0.500 0.381 0.525
Ga 0.856 0.475 0.975
Ga 0.144 0.119 0.619
Ga 0.500 0.975 0.119
Ga 0.500 0.619 0.475

Output
Uncorrected energy in eV per cell: -1408.72
Volume in Å³/atom: 24.2
E_form in eV/atom: -0.622

***

## TbGa (meta-GGA SCAN)

Data for TbGa at its PBEsol-relaxed geometry.

Cell lengths 4.006, 4.296, 5.814 Å; angles 68.31, 90.00, 90.00 degrees
Last column: magnetic moment on the atom in μB.
Element x y z (fractional)
Tb 0.750 0.860 0.281  0.14
Tb 0.250 0.140 0.719  0.14
Ga 0.750 0.575 0.849  -0.01
Ga 0.250 0.425 0.151  -0.01

Output
Uncorrected energy in eV per cell: -129.15
Volume in Å³/atom: 23.2
E_form in eV/atom: -0.732